Entry 1:
Crystalline Pr6MgIn3 at its relaxed geometry. Source: Alexandria, functional PBE.

Lattice parameters (Å, degrees): 10.271 10.271 6.466 90.00 90.00 110.40
Sites, in units of the cell vectors:
Pr (0.050, 0.462, 0.048)
Pr (0.058, 0.942, 0.500)
Pr (0.280, 0.340, 0.779)
Pr (0.290, 0.710, 0.694)
Pr (0.340, 0.280, 0.279)
Pr (0.462, 0.050, 0.548)
Pr (0.538, 0.950, 0.048)
Pr (0.660, 0.720, 0.779)
Pr (0.710, 0.290, 0.194)
Pr (0.720, 0.660, 0.279)
Pr (0.942, 0.058, 0.000)
Pr (0.950, 0.538, 0.548)
Mg (0.220, 0.780, 0.224)
Mg (0.780, 0.220, 0.724)
In (0.019, 0.250, 0.450)
In (0.250, 0.019, 0.950)
In (0.394, 0.606, 0.149)
In (0.606, 0.394, 0.649)
In (0.750, 0.981, 0.450)
In (0.981, 0.750, 0.950)

Computed properties:
VASP energy, eV/atom: -4.039

=====

Entry 2:
Crystalline CaMoH2Pd at its relaxed geometry. Source: Alexandria, functional PBE.

Lattice parameters (Å, degrees): 4.012 4.012 4.906 90.00 90.00 90.00
Sites, in units of the cell vectors:
Ca (0.000, 0.000, 0.000)
Mo (0.500, 0.500, 0.000)
H (0.000, 0.500, 0.500)
H (0.500, 0.000, 0.500)
Pd (0.500, 0.500, 0.500)

Computed properties:
VASP energy, eV/atom: -4.094

=====

Entry 3:
Crystalline ZrZnCr3 at its relaxed geometry. Source: Alexandria, functional PBE.

Lattice parameters (Å, degrees): 4.388 4.388 4.388 90.00 90.00 90.00
Sites, in units of the cell vectors:
Zr (0.000, 0.000, 0.000)
Zn (0.500, 0.500, 0.500)
Cr (0.000, 0.500, 0.500)
Cr (0.500, 0.000, 0.500)
Cr (0.500, 0.500, 0.000)

Computed properties:
VASP energy, eV/atom: -6.366

=====

Entry 4:
Crystalline BePdW2 at its relaxed geometry. Source: Alexandria, functional PBE.

Lattice parameters (Å, degrees): 9.789 9.789 9.789 158.56 158.56 30.50
Sites, in units of the cell vectors:
Be (0.000, 0.000, 0.000)
Be (0.750, 0.250, 0.500)
Pd (0.250, 0.750, 0.500)
Pd (0.500, 0.500, 0.000)
W (0.110, 0.625, 0.985)
W (0.375, 0.360, 0.485)
W (0.640, 0.125, 0.015)
W (0.875, 0.890, 0.515)

Computed properties:
VASP energy, eV/atom: -8.053

=====

Entry 5:
Crystalline AcSeO4 at its relaxed geometry. Source: Alexandria, functional PBE.

Lattice parameters (Å, degrees): 4.954 4.065 9.419 90.00 98.35 90.00
Sites, in units of the cell vectors:
Ac (0.000, 0.023, 0.250)
Ac (0.000, 0.977, 0.750)
Se (0.500, 0.500, 0.000)
Se (0.500, 0.500, 0.500)
O (0.274, 0.167, 0.545)
O (0.274, 0.833, 0.045)
O (0.278, 0.466, 0.829)
O (0.278, 0.534, 0.329)
O (0.722, 0.466, 0.671)
O (0.722, 0.534, 0.171)
O (0.726, 0.167, 0.955)
O (0.726, 0.833, 0.455)

Computed properties:
Uncorrected formation energy, eV per atom: -1.507

=====

Entry 6:
Crystalline Sm5HoSn5 at its relaxed geometry. Source: Alexandria, functional PBE.

Lattice parameters (Å, degrees): 8.517 8.517 7.399 103.14 103.14 43.18
Sites, in units of the cell vectors:
Sm (0.000, 0.000, 0.000)
Sm (0.330, 0.330, 0.175)
Sm (0.338, 0.338, 0.677)
Sm (0.662, 0.662, 0.323)
Sm (0.670, 0.670, 0.825)
Ho (0.000, 0.000, 0.500)
Sn (0.165, 0.165, 0.835)
Sn (0.166, 0.166, 0.347)
Sn (0.500, 0.500, 0.500)
Sn (0.834, 0.834, 0.653)
Sn (0.835, 0.835, 0.165)

Computed properties:
VASP energy, eV/atom: -4.852

=====

Entry 7:
Crystalline Ce3Si8Rh3 at its relaxed geometry. Source: Alexandria, functional PBE.

Lattice parameters (Å, degrees): 7.894 7.894 7.894 149.55 103.91 84.12
Sites, in units of the cell vectors:
Ce (0.000, 0.000, 0.000)
Ce (0.303, 0.303, 0.000)
Ce (0.697, 0.697, 0.000)
Si (0.027, 0.662, 0.365)
Si (0.160, 0.874, 0.285)
Si (0.296, 0.662, 0.635)
Si (0.411, 0.126, 0.285)
Si (0.589, 0.874, 0.715)
Si (0.704, 0.338, 0.365)
Si (0.840, 0.126, 0.715)
Si (0.973, 0.338, 0.635)
Rh (0.287, 0.500, 0.787)
Rh (0.500, 0.000, 0.500)
Rh (0.713, 0.500, 0.213)

Computed properties:
Uncorrected formation energy, eV per atom: -0.641

=====

Entry 8:
Crystalline PmSiRh at its relaxed geometry. Source: Alexandria, functional PBE.

Lattice parameters (Å, degrees): 7.228 4.395 7.144 90.00 90.00 90.00
Sites, in units of the cell vectors:
Pm (0.015, 0.250, 0.176)
Pm (0.485, 0.750, 0.676)
Pm (0.515, 0.250, 0.324)
Pm (0.985, 0.750, 0.824)
Si (0.195, 0.250, 0.609)
Si (0.305, 0.750, 0.109)
Si (0.695, 0.250, 0.891)
Si (0.805, 0.750, 0.391)
Rh (0.143, 0.750, 0.428)
Rh (0.357, 0.250, 0.928)
Rh (0.643, 0.750, 0.072)
Rh (0.857, 0.250, 0.572)

Computed properties:
Uncorrected formation energy, eV per atom: -0.965

=====

Entry 9:
Crystalline Mn2Cu3Pt3 at its relaxed geometry. Source: Alexandria, functional PBE.

Lattice parameters (Å, degrees): 3.913 3.935 7.297 90.00 90.00 90.00
Sites, in units of the cell vectors:
Mn (0.000, 0.000, 0.249)
Mn (0.000, 0.000, 0.751)
Cu (0.000, 0.500, 0.000)
Cu (0.500, 0.500, 0.246)
Cu (0.500, 0.500, 0.754)
Pt (0.000, 0.500, 0.500)
Pt (0.500, 0.000, 0.000)
Pt (0.500, 0.000, 0.500)

Computed properties:
VASP energy, eV/atom: -6.356

=====

Entry 10:
Crystalline CuAg3Mo at its relaxed geometry. Source: Alexandria, functional PBE.

Lattice parameters (Å, degrees): 5.092 5.092 5.092 90.00 90.00 90.00
Sites, in units of the cell vectors:
Cu (0.000, 0.000, 0.000)
Ag (0.000, 0.500, 0.500)
Ag (0.500, 0.000, 0.500)
Ag (0.500, 0.500, 0.000)
Mo (0.500, 0.500, 0.500)

Computed properties:
VASP energy, eV/atom: -2.882

=====

Entry 11:
Crystalline Er2TmGe2Rh5 at its relaxed geometry. Source: Alexandria, functional PBE.

Lattice parameters (Å, degrees): 9.893 9.893 3.644 90.00 90.00 90.00
Sites, in units of the cell vectors:
Er (0.173, 0.327, 0.000)
Er (0.327, 0.827, 0.000)
Er (0.673, 0.173, 0.000)
Er (0.827, 0.673, 0.000)
Tm (0.000, 0.000, 0.000)
Tm (0.500, 0.500, 0.000)
Ge (0.124, 0.624, 0.000)
Ge (0.376, 0.124, 0.000)
Ge (0.624, 0.876, 0.000)
Ge (0.876, 0.376, 0.000)
Rh (0.000, 0.500, 0.500)
Rh (0.070, 0.785, 0.500)
Rh (0.215, 0.070, 0.500)
Rh (0.285, 0.570, 0.500)
Rh (0.430, 0.285, 0.500)
Rh (0.500, 0.000, 0.500)
Rh (0.570, 0.715, 0.500)
Rh (0.715, 0.430, 0.500)
Rh (0.785, 0.930, 0.500)
Rh (0.930, 0.215, 0.500)

Computed properties:
VASP energy, eV/atom: -6.849

=====

Entry 12:
Crystalline TbZrSnHg at its relaxed geometry. Source: Alexandria, functional PBE.

Lattice parameters (Å, degrees): 5.152 5.152 5.152 60.00 60.00 60.00
Sites, in units of the cell vectors:
Tb (0.000, 0.000, 0.000)
Zr (0.500, 0.500, 0.500)
Sn (0.250, 0.250, 0.250)
Hg (0.750, 0.750, 0.750)

Computed properties:
VASP energy, eV/atom: -4.724